w | The following is a PBE-GGA calculation of BaLiSe2Br after structural relaxation, from Alexandria via LeMat-Bulk.

a = 6.274 Å, b = 6.274 Å, c = 6.291 Å
α = 90.00°, β = 90.00°, γ = 90.00°
Each line ends with the local moment (μB).
Sites, in units of the cell vectors:
Br (0.000, 0.000, 0.500)  0.05
Li (0.500, 0.500, 0.500)  0.00
Se (0.500, 0.000, 0.000)  0.56
Se (0.000, 0.500, 0.000)  0.56
Ba (0.000, 0.000, 0.000)  0.01

Computed properties:
Its space group is No. 123. Its crystal system is tetragonal.

x | The following is a PBE-GGA calculation of BaLiSe2Br after structural relaxation, from Alexandria via LeMat-Bulk.

a = 4.786 Å, b = 4.786 Å, c = 5.853 Å
α = 90.00°, β = 90.00°, γ = 90.00°
Sites, in units of the cell vectors:
Se (0.000, 0.500, 0.000)
Li (0.000, 0.000, 0.000)
Br (0.000, 0.000, 0.500)
Se (0.500, 0.000, 0.000)
Ba (0.500, 0.500, 0.500)

Computed properties:
Its space group is No. 123. Its crystal system is tetragonal.

Order of stability, best first: x, w

w | The following is a PBE-GGA calculation of BaMgBr2 after structural relaxation, from Alexandria via LeMat-Bulk.

a = 10.110 Å, b = 10.110 Å, c = 10.110 Å
α = 24.14°, β = 24.14°, γ = 24.14°
Sites, in units of the cell vectors:
Br (0.882, 0.882, 0.882)
Ba (0.000, 0.000, 0.000)
Mg (0.500, 0.500, 0.500)
Br (0.118, 0.118, 0.118)

Computed properties:
Its space group is No. 166. Its crystal system is trigonal.

x | The following is a PBE-GGA calculation of BaMgBr2 after structural relaxation, from Alexandria via LeMat-Bulk.

a = 5.754 Å, b = 5.754 Å, c = 5.754 Å
α = 60.00°, β = 60.00°, γ = 60.00°
Sites, in units of the cell vectors:
Mg (0.000, 0.000, 0.000)
Br (0.750, 0.750, 0.750)
Ba (0.500, 0.500, 0.500)
Br (0.250, 0.250, 0.250)

Computed properties:
Its space group is No. 225. Its crystal system is cubic.

Order of stability, best first: x, w

w | The following is a PBE-GGA calculation of BaMgBr2 after structural relaxation, from Alexandria via LeMat-Bulk.

a = 8.274 Å, b = 8.274 Å, c = 8.274 Å
α = 150.79°, β = 143.65°, γ = 47.29°
Sites, in units of the cell vectors:
Br (0.063, 0.063, 0.000)
Mg (0.453, 0.453, 0.000)
Br (0.759, 0.259, 0.500)
Ba (0.225, 0.725, 0.500)

Computed properties:
Its space group is No. 44. Its crystal system is orthorhombic.

x | The following is a PBE-GGA calculation of BaMgBr2 after structural relaxation, from Alexandria via LeMat-Bulk.

a = 9.916 Å, b = 9.916 Å, c = 5.292 Å
α = 57.89°, β = 57.89°, γ = 23.90°
Sites, in units of the cell vectors:
Ba (0.263, 0.263, 0.224)
Mg (0.560, 0.560, 0.628)
Br (0.927, 0.927, 0.899)
Br (0.751, 0.751, 0.749)

Computed properties:
Its space group is No. 8. Its crystal system is monoclinic.

Order of stability, best first: x, w

w | The following is a PBE-GGA calculation of BaMg2Br after structural relaxation, from Alexandria via LeMat-Bulk.

a = 7.427 Å, b = 7.427 Å, c = 4.869 Å
α = 70.64°, β = 70.64°, γ = 33.62°
Sites, in units of the cell vectors:
Mg (0.501, 0.501, 0.498)
Br (0.250, 0.250, 0.250)
Mg (0.999, 0.999, 0.002)
Ba (0.750, 0.750, 0.750)

Computed properties:
Its space group is No. 12. Its crystal system is monoclinic.

x | The following is a PBE-GGA calculation of BaMg2Br after structural relaxation, from Alexandria via LeMat-Bulk.

a = 6.152 Å, b = 6.152 Å, c = 6.458 Å
α = 69.84°, β = 69.84°, γ = 37.31°
Sites, in units of the cell vectors:
Mg (0.801, 0.801, 0.907)
Ba (0.443, 0.443, 0.371)
Mg (0.089, 0.089, 0.845)
Br (0.168, 0.168, 0.378)

Computed properties:
Its space group is No. 8. Its crystal system is monoclinic.

Order of stability, best first: w, x

w | The following is a PBE-GGA calculation of BaMgBr4 after structural relaxation, from Alexandria via LeMat-Bulk.

a = 7.243 Å, b = 7.241 Å, c = 9.523 Å
α = 112.26°, β = 112.36°, γ = 89.99°
Sites, in units of the cell vectors:
Br (0.637, 0.298, 0.085)
Mg (0.876, 0.124, 0.250)
Br (0.298, 0.949, 0.585)
Ba (0.375, 0.625, 0.250)
Br (0.948, 0.786, 0.085)
Mg (0.124, 0.876, 0.750)
Br (0.213, 0.363, 0.415)
Br (0.052, 0.214, 0.915)
Br (0.702, 0.051, 0.415)
Ba (0.625, 0.375, 0.750)
Br (0.787, 0.637, 0.585)
Br (0.363, 0.702, 0.915)

Computed properties:
Its space group is No. 2. Its crystal system is triclinic.

x | The following is a PBE-GGA calculation of BaMgBr4 after structural relaxation, from Alexandria via LeMat-Bulk.

a = 6.592 Å, b = 6.592 Å, c = 6.592 Å
α = 60.00°, β = 60.00°, γ = 60.00°
Each line ends with the local moment (μB).
Sites, in units of the cell vectors:
Mg (0.750, 0.750, 0.750)  0.10
Ba (0.000, 0.000, 0.000)  0.01
Br (0.376, 0.376, 0.873)  0.33
Br (0.376, 0.376, 0.376)  0.33
Br (0.873, 0.376, 0.376)  0.33
Br (0.376, 0.873, 0.376)  0.33

Computed properties:
Its space group is No. 216. Its crystal system is cubic.

Order of stability, best first: w, x

w | The following is a PBE-GGA calculation of BaMg2Br6 after structural relaxation, from Alexandria via LeMat-Bulk.

a = 5.447 Å, b = 7.680 Å, c = 9.267 Å
α = 103.18°, β = 90.00°, γ = 110.77°
Sites, in units of the cell vectors:
Mg (0.767, 0.534, 0.844)
Br (0.363, 0.727, 0.401)
Br (0.070, 0.140, 0.200)
Mg (0.233, 0.466, 0.156)
Br (0.930, 0.860, 0.800)
Br (0.235, 0.470, 0.875)
Ba (0.000, 0.000, 0.500)
Br (0.765, 0.530, 0.125)
Br (0.637, 0.273, 0.599)

Computed properties:
Its space group is No. 12. Its crystal system is monoclinic.

x | The following is a PBE-GGA calculation of BaMg2Br6 after structural relaxation, from Alexandria via LeMat-Bulk.

a = 7.025 Å, b = 7.033 Å, c = 7.033 Å
α = 120.00°, β = 90.00°, γ = 90.00°
Sites, in units of the cell vectors:
Br (0.719, 0.371, 0.000)
Mg (0.500, 0.333, 0.667)
Br (0.719, 0.629, 0.629)
Ba (0.000, 0.000, 0.000)
Br (0.281, 0.000, 0.629)
Mg (0.500, 0.667, 0.333)
Br (0.281, 0.371, 0.371)
Br (0.281, 0.629, 0.000)
Br (0.719, 0.000, 0.371)

Computed properties:
Its space group is No. 162. Its crystal system is trigonal.

Order of stability, best first: x, w

w | The following is a PBE-GGA calculation of BaMgBrO2 after structural relaxation, from Alexandria via LeMat-Bulk.

a = 4.590 Å, b = 6.442 Å, c = 4.590 Å
α = 90.00°, β = 90.00°, γ = 90.00°
Sites, in units of the cell vectors:
O (0.000, 0.000, 0.500)
Ba (0.000, 0.000, 0.000)
Br (0.000, 0.500, 0.000)
Mg (0.500, 0.500, 0.500)
O (0.500, 0.000, 0.000)

Computed properties:
Its space group is No. 123. Its crystal system is tetragonal.

x | The following is a PBE-GGA calculation of BaMgBrO2 after structural relaxation, from Alexandria via LeMat-Bulk.

a = 4.360 Å, b = 5.105 Å, c = 4.360 Å
α = 90.00°, β = 90.00°, γ = 90.00°
Each line ends with the local moment (μB).
Sites, in units of the cell vectors:
Mg (0.000, 0.000, 0.000)  -0.01
O (0.500, 0.000, 0.000)  0.45
O (0.000, 0.000, 0.500)  0.40
Br (0.000, 0.500, 0.000)  0.00
Ba (0.500, 0.500, 0.500)  -0.01

Computed properties:
Its space group is No. 123. Its crystal system is tetragonal.

Order of stability, best first: x, w

w | The following is a PBE-GGA calculation of BaMgSeBr2 after structural relaxation, from Alexandria via LeMat-Bulk.

a = 6.096 Å, b = 6.096 Å, c = 6.375 Å
α = 90.00°, β = 90.00°, γ = 90.00°
Sites, in units of the cell vectors:
Br (0.500, 0.000, 0.000)
Mg (0.500, 0.500, 0.500)
Br (0.000, 0.500, 0.000)
Ba (0.000, 0.000, 0.000)
Se (0.000, 0.000, 0.500)

Computed properties:
Its space group is No. 123. Its crystal system is tetragonal.

x | The following is a PBE-GGA calculation of BaMgSeBr2 after structural relaxation, from Alexandria via LeMat-Bulk.

a = 5.247 Å, b = 5.247 Å, c = 5.354 Å
α = 90.00°, β = 90.00°, γ = 90.00°
Sites, in units of the cell vectors:
Ba (0.500, 0.500, 0.500)
Se (0.000, 0.000, 0.500)
Mg (0.000, 0.000, 0.000)
Br (0.500, 0.000, 0.000)
Br (0.000, 0.500, 0.000)

Computed properties:
Its space group is No. 123. Its crystal system is tetragonal.

Order of stability, best first: x, w

w | The following is a PBE-GGA calculation of BaMn2Br after structural relaxation, from Alexandria via LeMat-Bulk.

a = 5.503 Å, b = 5.503 Å, c = 5.503 Å
α = 60.00°, β = 60.00°, γ = 60.00°
Each line ends with the local moment (μB).
Sites, in units of the cell vectors:
Mn (0.750, 0.750, 0.750)  4.14
Br (0.000, 0.000, 0.000)  0.11
Ba (0.500, 0.500, 0.500)  -0.03
Mn (0.250, 0.250, 0.250)  4.14

Computed properties:
Its space group is No. 225. Its crystal system is cubic.

x | The following is a PBE-GGA calculation of BaMn2Br after structural relaxation, from Alexandria via LeMat-Bulk.

a = 4.374 Å, b = 4.374 Å, c = 13.096 Å
α = 80.39°, β = 80.39°, γ = 90.00°
Each line ends with the local moment (μB).
Sites, in units of the cell vectors:
Mn (0.623, 0.125, 0.250)  4.10
Mn (0.875, 0.873, 0.750)  4.13
Mn (0.375, 0.377, 0.750)  4.13
Ba (0.750, 0.250, 0.500)  -0.08
Mn (0.127, 0.625, 0.250)  4.10
Ba (0.000, 0.000, 0.000)  -0.08
Br (0.250, 0.750, 0.500)  0.03
Br (0.500, 0.500, 0.000)  0.03

Computed properties:
Its space group is No. 122. Its crystal system is tetragonal.

Order of stability, best first: x, w

w | The following is a PBE-GGA calculation of BaMn2Br after structural relaxation, from Alexandria via LeMat-Bulk.

a = 7.050 Å, b = 7.050 Å, c = 7.050 Å
α = 143.49°, β = 143.49°, γ = 52.59°
Each line ends with the local moment (μB).
Sites, in units of the cell vectors:
Mn (0.000, 0.000, 0.000)  4.14
Mn (0.500, 0.500, 0.000)  4.14
Br (0.750, 0.250, 0.500)  0.04
Ba (0.250, 0.750, 0.500)  -0.04

Computed properties:
Its space group is No. 139. Its crystal system is tetragonal.

x | The following is a PBE-GGA calculation of BaMn2Br after structural relaxation, from Alexandria via LeMat-Bulk.

a = 6.193 Å, b = 6.193 Å, c = 6.193 Å
α = 145.78°, β = 120.83°, γ = 70.16°
Each line ends with the local moment (μB).
Sites, in units of the cell vectors:
Mn (0.808, 0.308, 0.500)  3.95
Ba (0.490, 0.490, 0.000)  -0.10
Mn (0.006, 0.006, 0.000)  3.70
Br (0.196, 0.696, 0.500)  0.04

Computed properties:
Its space group is No. 44. Its crystal system is orthorhombic.

Order of stability, best first: w, x

w | The following is a PBE-GGA calculation of BaMnBr2 after structural relaxation, from Alexandria via LeMat-Bulk.

a = 7.428 Å, b = 7.428 Å, c = 7.428 Å
α = 147.38°, β = 139.70°, γ = 52.77°
Each line ends with the local moment (μB).
Sites, in units of the cell vectors:
Br (0.761, 0.261, 0.500)  0.01
Ba (0.229, 0.729, 0.500)  -0.02
Mn (0.474, 0.474, 0.000)  4.47
Br (0.036, 0.036, 0.000)  0.06

Computed properties:
Its space group is No. 44. Its crystal system is orthorhombic.

x | The following is a PBE-GGA calculation of BaMnBr2 after structural relaxation, from Alexandria via LeMat-Bulk.

a = 5.264 Å, b = 5.262 Å, c = 4.417 Å
α = 90.00°, β = 90.00°, γ = 90.00°
Each line ends with the local moment (μB).
Sites, in units of the cell vectors:
Mn (0.500, 0.000, 0.500)  4.37
Br (0.500, 0.500, 0.000)  0.06
Br (0.000, 0.000, 0.000)  0.06
Ba (0.000, 0.500, 0.500)  -0.04

Computed properties:
Its space group is No. 123. Its crystal system is tetragonal.

y | The following is a PBE-GGA calculation of BaMnBr2 after structural relaxation, from Alexandria via LeMat-Bulk.

a = 4.410 Å, b = 5.033 Å, c = 6.737 Å
α = 65.14°, β = 90.00°, γ = 90.00°
Each line ends with the local moment (μB).
Sites, in units of the cell vectors:
Br (0.000, 0.002, 0.949)  0.03
Mn (0.000, 0.617, 0.384)  4.30
Br (0.500, 0.290, 0.369)  0.08
Ba (0.500, 0.591, 0.799)  -0.01

Computed properties:
Its space group is No. 6. Its crystal system is monoclinic.

Order of stability, best first: y, x, w

w | The following is a PBE-GGA calculation of BaMnBr2 after structural relaxation, from Alexandria via LeMat-Bulk.

a = 5.697 Å, b = 5.697 Å, c = 5.697 Å
α = 60.00°, β = 60.00°, γ = 60.00°
Each line ends with the local moment (μB).
Sites, in units of the cell vectors:
Br (0.000, 0.000, 0.000)  0.09
Br (0.250, 0.250, 0.250)  0.04
Ba (0.500, 0.500, 0.500)  -0.01
Mn (0.750, 0.750, 0.750)  4.45

Computed properties:
Its space group is No. 216. Its crystal system is cubic.

x | The following is a PBE-GGA calculation of BaMnBr2 after structural relaxation, from Alexandria via LeMat-Bulk.

a = 6.479 Å, b = 6.479 Å, c = 8.338 Å
α = 67.14°, β = 67.14°, γ = 90.00°
Each line ends with the local moment (μB).
Sites, in units of the cell vectors:
Br (0.875, 0.779, 0.750)  0.01
Br (0.375, 0.471, 0.750)  0.01
Mn (0.500, 0.500, 0.000)  3.79
Br (0.529, 0.125, 0.250)  0.01
Mn (0.250, 0.750, 0.500)  3.79
Ba (0.750, 0.250, 0.500)  -0.16
Br (0.221, 0.625, 0.250)  0.01
Ba (0.000, 0.000, 0.000)  -0.16

Computed properties:
Its space group is No. 122. Its crystal system is tetragonal.

y | The following is a PBE-GGA calculation of BaMnBr2 after structural relaxation, from Alexandria via LeMat-Bulk.

a = 5.884 Å, b = 5.884 Å, c = 5.843 Å
α = 60.27°, β = 60.27°, γ = 48.05°
Each line ends with the local moment (μB).
Sites, in units of the cell vectors:
Br (0.971, 0.971, 0.029)  0.06
Br (0.529, 0.529, 0.471)  0.06
Ba (0.750, 0.750, 0.750)  -0.01
Mn (0.250, 0.250, 0.250)  4.35

Computed properties:
Its space group is No. 71. Its crystal system is orthorhombic.

Order of stability, best first: y, x, w

w | The following is a PBE-GGA calculation of BaMnBr2 after structural relaxation, from Alexandria via LeMat-Bulk.

a = 5.623 Å, b = 5.623 Å, c = 5.623 Å
α = 60.00°, β = 60.00°, γ = 60.00°
Each line ends with the local moment (μB).
Sites, in units of the cell vectors:
Ba (0.500, 0.500, 0.500)  -0.03
Br (0.750, 0.750, 0.750)  0.07
Br (0.250, 0.250, 0.250)  0.07
Mn (0.000, 0.000, 0.000)  4.37

Computed properties:
Its space group is No. 225. Its crystal system is cubic.

x | The following is a PBE-GGA calculation of BaMnBr2 after structural relaxation, from Alexandria via LeMat-Bulk.

a = 4.202 Å, b = 4.202 Å, c = 7.362 Å
α = 90.00°, β = 90.00°, γ = 90.07°
Each line ends with the local moment (μB).
Sites, in units of the cell vectors:
Br (0.000, 0.000, 0.512)  0.04
Ba (0.500, 0.500, 0.750)  -0.04
Br (0.000, 0.000, 0.988)  0.04
Mn (0.500, 0.500, 0.250)  4.43

Computed properties:
Its space group is No. 123. Its crystal system is tetragonal.

y | The following is a PBE-GGA calculation of BaMnBr2 after structural relaxation, from Alexandria via LeMat-Bulk.

a = 4.251 Å, b = 4.251 Å, c = 7.028 Å
α = 90.00°, β = 90.00°, γ = 89.98°
Each line ends with the local moment (μB).
Sites, in units of the cell vectors:
Ba (0.500, 0.500, 0.774)  -0.02
Br (0.000, 0.000, 0.005)  0.02
Br (0.500, 0.500, 0.314)  0.09
Mn (0.000, 0.000, 0.407)  4.43

Computed properties:
Its space group is No. 99. Its crystal system is tetragonal.

Order of stability, best first: y, w, x